No. 1
Material: LiN2Cl
Method: DFT, PBE
State: relaxed

Structure (POSCAR):
```
LiN2Cl
1.0
3.994 0.000 0.000
1.996 3.471 0.000
1.655 0.669 6.845
Li N Cl
1 2 1
Direct
0.000 0.000 0.000
0.799 0.826 0.500
0.874 0.904 0.341
0.346 0.342 0.957
```

Summary:
**Polymorph energy (0 for the lowest one)**: 0.000 eV/atom
**Formation energy from raw total energies**: -0.87 eV/atom
**Space group**: P1
**Final energy**: -5.972 eV per atom

No. 2
Material: CsNa2Cd4
Method: DFT, PBE
State: relaxed

Structure (POSCAR):
```
CsNa2Cd4
1.0
-2.414 2.419 10.685
2.414 -2.419 10.685
2.414 2.419 -10.685
Cs Na Cd
1 2 4
Direct
0.000 0.000 0.000
0.191 0.691 0.500
0.809 0.309 0.500
0.340 0.840 0.500
0.422 0.422 0.000
0.578 0.578 0.000
0.660 0.160 0.500
```

Summary:
**Space group**: Immm
**Final energy**: -1.028 eV per atom
**Energy of formation from the pure elements**: -0.0061 eV per atom

No. 3
Material: Np2ZnSiPt6
Method: DFT, PBE
State: relaxed

Structure (POSCAR):
```
Np2ZnSiPt6
1.0
0.000 4.652 4.652
4.652 0.000 4.652
4.652 4.652 0.000
Np Zn Si Pt
2 1 1 6
Direct
0.250 0.250 0.250
0.750 0.750 0.750
0.000 0.000 0.000
0.500 0.500 0.500
0.256 0.256 0.744
0.256 0.744 0.256
0.256 0.744 0.744
0.744 0.256 0.256
0.744 0.256 0.744
0.744 0.744 0.256
```

Summary:
**Formation energy from raw total energies**: -0.13 eV/atom
**Space group**: Fm-3m
**Final energy**: -7.015 eV per atom